SbSe4Cl2 | GGA-PBE | optimized geometry

a b c (Å): 5.1606 5.1606 11.6624
angles (deg): 77.22 77.22 90.00
Element x y z (fractional)
Sb1 0.0000 0.0000 0.0000
Cl1 0.6463 0.6463 0.7075
Se1 0.0000 0.5000 0.0000
Se2 0.2567 0.2567 0.4866
Cl2 0.3537 0.3537 0.2925
Se3 0.5000 0.0000 0.0000
Se4 0.7433 0.7433 0.5134

Output
- electronic total energy (eV/atom) = -2.782